CeEu2In | GGA-PBE | optimized geometry

Summary:
Offset from the most stable computed form ... 0.066 eV per atom
DFT formation energy ... -71.0 meV/atom

abc: 7.9289 7.9289 7.9289
angles: 90.00 90.00 90.00
Closest atoms and distances in Å follow each position.
Space group Fm-3m (No. 225)
Inequivalent atoms, fractional coordinates:
Ce1 0.0000 0.0000 0.0000  8 Eu 3.43
Eu1 0.2500 0.2500 0.2500  4 In 3.43, 4 Ce 3.43
In1 0.0000 0.0000 0.5000  8 Eu 3.43

=====

CeEu2In | GGA-PBE | optimized geometry

Summary:
Offset from the most stable computed form ... 0.051 eV per atom
DFT formation energy ... -86.5 meV/atom

abc: 4.0044 4.0044 8.2371
angles: 90.00 90.00 90.00
Closest atoms and distances in Å follow each position.
Space group P4/mmm (No. 123)
Inequivalent atoms, fractional coordinates:
Ce1 0.0000 0.0000 0.0000  8 Eu 3.63, 4 Ce 4.00
Eu1 0.5000 0.5000 0.2766  4 In 3.38, 4 Ce 3.63, 1 Eu 3.68
In1 0.0000 0.0000 0.5000  8 Eu 3.38

=====

CeEu2In | GGA-PBE | optimized geometry

Summary:
Offset from the most stable computed form ... 0.000 eV per atom
DFT formation energy ... -137.2 meV/atom

abc: 4.9862 4.9862 5.1060
angles: 90.00 90.00 90.00
Closest atoms and distances in Å follow each position.
Space group P4/mmm (No. 123)
Inequivalent atoms, fractional coordinates:
Ce1 0.0000 0.0000 0.0000  4 In 3.53, 8 Eu 3.57
Eu1 0.0000 0.5000 0.5000  4 Eu 3.53, 4 In 3.57, 4 Ce 3.57
In1 0.5000 0.5000 0.0000  4 Ce 3.53, 8 Eu 3.57

=====

CeEuIn2 | GGA-PBE | optimized geometry

Summary:
Offset from the most stable computed form ... 0.006 eV per atom
DFT formation energy ... -376.2 meV/atom

abc: 7.8056 7.8056 7.8056
angles: 90.00 90.00 90.00
Closest atoms and distances in Å follow each position.
Space group Fm-3m (No. 225)
Inequivalent atoms, fractional coordinates:
Ce1 0.0000 0.0000 0.0000  8 In 3.38
Eu1 0.0000 0.0000 0.5000  8 In 3.38
In1 0.2500 0.2500 0.2500  4 Ce 3.38, 4 Eu 3.38

=====

Copy entry 4 word for word.
CeEuIn2 | GGA-PBE | optimized geometry

Summary:
Offset from the most stable computed form ... 0.006 eV per atom
DFT formation energy ... -376.2 meV/atom

abc: 7.8056 7.8056 7.8056
angles: 90.00 90.00 90.00
Closest atoms and distances in Å follow each position.
Space group Fm-3m (No. 225)
Inequivalent atoms, fractional coordinates:
Ce1 0.0000 0.0000 0.0000  8 In 3.38
Eu1 0.0000 0.0000 0.5000  8 In 3.38
In1 0.2500 0.2500 0.2500  4 Ce 3.38, 4 Eu 3.38

=====

- Which of these has the lowest offset from the most stable computed form?
  number 3

=====

- Which of these has the lowest offset from the most stable computed form?
  number 3